# Tl2TeIr

A geometry-optimized Tl2TeIr structure (PBE, Alexandria).

The structure in CIF format:
```
data_Tl2TeIr
_chemical_formula_sum 'Tl8 Te4 Ir4'
_cell_length_a 7.2609
_cell_length_b 7.2609
_cell_length_c 7.2609
_cell_angle_alpha 90.00
_cell_angle_beta 90.00
_cell_angle_gamma 90.00
_space_group_name_H-M_alt 'F m -3 m'
_space_group_IT_number 225
_space_group_name_Hall '-F 4 2 3'
loop_
_atom_site_label
_atom_site_type_symbol
_atom_site_fract_x
_atom_site_fract_y
_atom_site_fract_z
Tl1 Tl 0.2500 0.2500 0.2500
Te1 Te 0.0000 0.0000 0.0000
Ir1 Ir 0.0000 0.0000 0.5000
```

energy relative to the lowest polymorph listed for this composition	607	meV per atom
uncorrected formation energy	707	meV/atom
D(E_F)	2.68	states/eV/f.u.